# 1
DFT (PBE) results for a relaxed LiGa4Pt2 crystal.

Properties
Its energy above the most stable polymorph in this dataset is 0.0 kJ/mol of atoms. The crystal system is orthorhombic. The symmetry is Pnma (62). The theoretical density comes out at 9.36 Mg/m³. The calculation puts the energy relative to the elements at -54.4 kJ per mole of atoms.

a b c (Å): 4.1606 7.1890 16.0366
angles (deg): 90.00 90.00 90.00
Closest atoms and distances in Å follow each position.
Element x y z (fractional)
Li1 0.7500 0.9335 0.6465  10 Ga 2.96-3.17, 4 Pt 2.99-3.04
Li2 0.2500 0.0665 0.3535  10 Ga 2.96-3.17, 4 Pt 2.99-3.04
Li3 0.2500 0.4335 0.8535  10 Ga 2.96-3.17, 4 Pt 2.99-3.04
Li4 0.7500 0.5665 0.1465  10 Ga 2.96-3.17, 4 Pt 2.99-3.04
Ga1 0.2500 0.2401 0.6868  1 Ga 2.57, 3 Pt 2.60
Ga2 0.7500 0.7599 0.3132  1 Ga 2.57, 3 Pt 2.60
Ga3 0.7500 0.7401 0.8132  1 Ga 2.57, 3 Pt 2.60
Ga4 0.2500 0.2599 0.1868  1 Ga 2.57, 3 Pt 2.60
Ga5 0.2500 0.6512 0.6889  4 Pt 2.55-2.60
Ga6 0.7500 0.3488 0.3111  4 Pt 2.55-2.60
Ga7 0.7500 0.1512 0.8111  4 Pt 2.55-2.60
Ga8 0.2500 0.8488 0.1889  4 Pt 2.55-2.60
Ga9 0.2500 0.1104 0.5372  3 Ga 2.57-2.88, 3 Pt 2.60-2.61
Ga10 0.7500 0.8896 0.4628  3 Ga 2.57-2.88, 3 Pt 2.60-2.61
Ga11 0.7500 0.6104 0.9628  3 Ga 2.57-2.88, 3 Pt 2.60-2.61
Ga12 0.2500 0.3896 0.0372  3 Ga 2.57-2.88, 3 Pt 2.60-2.61
Ga13 0.2500 0.4667 0.4365  4 Pt 2.58-2.63
Ga14 0.7500 0.5333 0.5635  4 Pt 2.58-2.63
Ga15 0.7500 0.9667 0.0635  4 Pt 2.58-2.63
Ga16 0.2500 0.0333 0.9365  4 Pt 2.58-2.63
Pt1 0.2500 0.7477 0.5362  7 Ga 2.55-2.63
Pt2 0.7500 0.2523 0.4638  7 Ga 2.55-2.63
Pt3 0.7500 0.2477 0.9638  7 Ga 2.55-2.63
Pt4 0.2500 0.7523 0.0362  7 Ga 2.55-2.63
Pt5 0.2500 0.9444 0.7806  7 Ga 2.57-2.60
Pt6 0.7500 0.0556 0.2194  7 Ga 2.57-2.60
Pt7 0.7500 0.4444 0.7194  7 Ga 2.57-2.60
Pt8 0.2500 0.5556 0.2806  7 Ga 2.57-2.60


# 2
DFT (PBE) results for a relaxed SrTlAs2Au4 crystal.

Properties
The crystal system is tetragonal. The symmetry is P4/mmm (123). The theoretical density comes out at 10.55 Mg/m³. The calculation puts the energy relative to the elements at -24.5 kJ per mole of atoms.

a b c (Å): 4.9438 4.9438 7.9204
angles (deg): 90.00 90.00 90.00
Closest atoms and distances in Å follow each position.
Element x y z (fractional)
Sr1 0.0000 0.0000 0.5000  8 Au 3.32
Tl1 0.0000 0.0000 0.0000  8 Au 3.02
As1 0.5000 0.5000 0.3245  4 Au 2.61, 1 As 2.78
As2 0.5000 0.5000 0.6755  4 Au 2.61, 1 As 2.78
Au1 0.0000 0.5000 0.2201  2 As 2.61
Au2 0.5000 0.0000 0.7799  2 As 2.61
Au3 0.5000 0.0000 0.2201  2 As 2.61
Au4 0.0000 0.5000 0.7799  2 As 2.61